# GdSeS2, optimized geometry, DFT PBE-GGA
data_GdSeS2
_cell_length_a 3.9120
_cell_length_b 3.9120
_cell_length_c 24.1633
_cell_angle_alpha 90.00
_cell_angle_beta 90.00
_cell_angle_gamma 120.00
_symmetry_space_group_name_H-M 'R -3 m'
_symmetry_Int_Tables_number 166
_symmetry_space_group_name_Hall '-R 3 2"'
loop_
_atom_site_label
_atom_site_fract_x
_atom_site_fract_y
_atom_site_fract_z
_atom_site_occupancy
Gd1 0.0000 0.0000 0.0000 1
Se1 0.0000 0.0000 0.5000 1
S1 0.0000 0.0000 0.1113 1
# Raw formation energy ... 0.088 eV per atom
# N(E_F) ... 6.3 states/eV/f.u.
# Mass density ... 4672 kg/m3
# Total magnetic moment ... 21.6 μB/cell